*A*
A relaxed structure of ZnMo2Pb. Source: the Alexandria database, functional GGA-PBEsol.

abc: 5.2867 5.2867 5.2867
angles: 143.77 128.91 64.23
With the nearest neighbours (Å) after each atom.
Positions (direct):
Zn 0.0000 0.0000 0.0000  4 Mo 2.73, 4 Pb 2.81
Mo 0.2427 0.7427 0.5000  2 Zn 2.73, 4 Mo 2.81, 2 Pb 2.83
Mo 0.7573 0.2573 0.5000  2 Zn 2.73, 4 Mo 2.81, 2 Pb 2.83
Pb 0.5000 0.5000 0.0000  4 Zn 2.81, 4 Mo 2.83

Results
Density of states at the Fermi level   3.0 states/eV per cell

*B*
A relaxed structure of ZnMo2Pb. Source: the Alexandria database, functional GGA-PBEsol.

abc: 4.9107 4.9107 4.7753
angles: 100.39 100.39 38.44
With the nearest neighbours (Å) after each atom.
Positions (direct):
Zn 0.0000 0.0000 0.0000  6 Mo 2.70-2.81, 4 Pb 2.88
Mo 0.2536 0.2536 0.8020  2 Mo 2.50, 1 Zn 2.70
Mo 0.7464 0.7464 0.1980  2 Mo 2.50, 1 Zn 2.70
Pb 0.5000 0.5000 0.5000  4 Zn 2.88, 6 Mo 2.93-2.99

Results
Density of states at the Fermi level   2.8 states/eV per cell

Which of them is most stable, and which least? Most stable: *B*; least stable: *A*.

*A*
A relaxed structure of TaMo3Pd. Source: the Alexandria database, functional GGA-PBEsol.

abc: 4.6067 4.6067 4.6067
angles: 90.00 90.00 90.00
With the nearest neighbours (Å) after each atom.
Positions (direct):
Ta 0.0000 0.0000 0.0000  12 Mo 3.26
Mo 0.0000 0.5000 0.5000  2 Pd 2.30
Mo 0.5000 0.0000 0.5000  2 Pd 2.30
Mo 0.5000 0.5000 0.0000  2 Pd 2.30
Pd 0.5000 0.5000 0.5000  6 Mo 2.30

Results
Density of states at the Fermi level   7.4 states/eV per cell

*B*
A relaxed structure of TaMo3Pd. Source: the Alexandria database, functional GGA-PBEsol.

abc: 4.6567 4.6567 4.6567
angles: 90.00 90.00 90.00
With the nearest neighbours (Å) after each atom.
Positions (direct):
Ta 0.0000 0.0000 0.0000  6 Mo 2.33
Mo 0.0000 0.0000 0.5000  2 Ta 2.33
Mo 0.0000 0.5000 0.0000  2 Ta 2.33
Mo 0.5000 0.0000 0.0000  2 Ta 2.33
Pd 0.5000 0.5000 0.5000  12 Mo 3.29

Results
Density of states at the Fermi level   5.1 states/eV per cell

Which of them is most stable, and which least? Most stable: *B*; least stable: *A*.

*A*
A relaxed structure of Te2MoPd. Source: the Alexandria database, functional GGA-PBEsol.

abc: 9.0145 9.0145 9.0145
angles: 21.58 21.58 21.58
With the nearest neighbours (Å) after each atom.
Positions (direct):
Te 0.0957 0.0957 0.0957  1 Pd 2.53, 3 Mo 2.70
Te 0.9043 0.9043 0.9043  1 Pd 2.53, 3 Mo 2.70
Mo 0.5000 0.5000 0.5000  6 Te 2.70
Pd 0.0000 0.0000 0.0000  2 Te 2.53

Results
Density of states at the Fermi level   2.6 states/eV per cell

*B*
A relaxed structure of Te2MoPd. Source: the Alexandria database, functional GGA-PBEsol.

abc: 9.3190 9.3190 9.3190
angles: 20.32 20.32 20.32
With the nearest neighbours (Å) after each atom.
Positions (direct):
Te 0.0940 0.0940 0.0940  1 Mo 2.57, 3 Pd 2.75
Te 0.9060 0.9060 0.9060  1 Mo 2.57, 3 Pd 2.75
Mo 0.0000 0.0000 0.0000  2 Te 2.57
Pd 0.5000 0.5000 0.5000  6 Te 2.75

Results
Density of states at the Fermi level   5.3 states/eV per cell

Which of them is most stable, and which least? Most stable: *A*; least stable: *B*.

*A*
A relaxed structure of MoPt5. Source: the Alexandria database, functional GGA-PBEsol.

abc: 4.7798 4.7798 4.5360
angles: 90.00 90.00 120.00
With the nearest neighbours (Å) after each atom.
Positions (direct):
Mo 0.0000 0.0000 0.0000  12 Pt 2.76
Pt 0.0000 0.3286 0.5000  10 Pt 2.72-2.78, 2 Mo 2.76
Pt 0.3286 0.0000 0.5000  10 Pt 2.72-2.78, 2 Mo 2.76
Pt 0.3333 0.6667 0.0000  3 Mo 2.76, 9 Pt 2.76-2.78
Pt 0.6667 0.3333 0.0000  3 Mo 2.76, 9 Pt 2.76-2.78
Pt 0.6714 0.6714 0.5000  10 Pt 2.72-2.78, 2 Mo 2.76

Results
Density of states at the Fermi level   7.8 states/eV per cell

*B*
A relaxed structure of MoPt5. Source: the Alexandria database, functional GGA-PBEsol.

abc: 4.5324 7.3195 7.3195
angles: 21.75 90.00 90.00
With the nearest neighbours (Å) after each atom.
Positions (direct):
Mo 0.0000 0.0000 0.0000  10 Pt 2.70-2.79, 2 Mo 2.76
Pt 0.0000 0.3370 0.3370  10 Pt 2.71-2.88, 2 Mo 2.72
Pt 0.0000 0.6615 0.6615  2 Mo 2.70, 10 Pt 2.76-2.88
Pt 0.5000 0.1056 0.1056  2 Mo 2.73, 10 Pt 2.75-2.77
Pt 0.5000 0.4404 0.4404  8 Pt 2.71-2.78, 4 Mo 2.79
Pt 0.5000 0.7727 0.7727  12 Pt 2.76-2.81

Results
Density of states at the Fermi level   6.2 states/eV per cell

Which of them is most stable, and which least? Most stable: *A*; least stable: *B*.

*A*
A relaxed structure of MoPt5. Source: the Alexandria database, functional GGA-PBEsol.

abc: 6.1978 6.1978 3.9260
angles: 90.00 90.00 143.48
With the nearest neighbours (Å) after each atom.
Positions (direct):
Mo 0.0000 0.0000 0.0000  12 Pt 2.70-2.76
Pt 0.1640 0.8360 0.5000  10 Pt 2.74-2.86, 2 Mo 2.75
Pt 0.3404 0.6596 0.0000  2 Mo 2.70, 10 Pt 2.72-2.88
Pt 0.5000 0.5000 0.5000  8 Pt 2.72-2.74, 4 Mo 2.76
Pt 0.6596 0.3404 0.0000  2 Mo 2.70, 10 Pt 2.72-2.88
Pt 0.8360 0.1640 0.5000  10 Pt 2.74-2.86, 2 Mo 2.75

Results
Density of states at the Fermi level   6.9 states/eV per cell

*B*
A relaxed structure of MoPt5. Source: the Alexandria database, functional GGA-PBEsol.

abc: 5.3456 5.3456 6.5362
angles: 105.07 105.07 30.03
With the nearest neighbours (Å) after each atom.
Positions (direct):
Mo 0.0000 0.0000 0.0000  10 Pt 2.70-2.85, 2 Mo 2.77
Pt 0.0508 0.0508 0.6125  1 Mo 2.72, 11 Pt 2.74-2.86
Pt 0.3357 0.3357 0.6778  2 Mo 2.70, 10 Pt 2.75-2.88
Pt 0.3910 0.3910 0.2694  2 Mo 2.71, 10 Pt 2.74-2.88
Pt 0.6635 0.6635 0.3283  10 Pt 2.72-2.85, 2 Mo 2.72
Pt 0.7161 0.7161 0.9423  9 Pt 2.72-2.77, 3 Mo 2.74-2.85

Results
Density of states at the Fermi level   6.0 states/eV per cell

Which of them is most stable, and which least? Most stable: *A*; least stable: *B*.

*A*
A relaxed structure of ReMo2Pt. Source: the Alexandria database, functional GGA-PBEsol.

abc: 3.9079 3.9079 3.8879
angles: 90.00 90.00 90.00
With the nearest neighbours (Å) after each atom.
Positions (direct):
Re 0.0000 0.0000 0.0000  8 Mo 2.76, 4 Pt 2.76
Mo 0.0000 0.5000 0.5000  4 Re 2.76, 4 Pt 2.76, 4 Mo 2.76
Mo 0.5000 0.0000 0.5000  4 Re 2.76, 4 Pt 2.76, 4 Mo 2.76
Pt 0.5000 0.5000 0.0000  8 Mo 2.76, 4 Re 2.76

Results
Density of states at the Fermi level   2.6 states/eV per cell

*B*
A relaxed structure of ReMo2Pt. Source: the Alexandria database, functional GGA-PBEsol.

abc: 4.7600 4.7600 4.7600
angles: 131.34 131.34 71.27
With the nearest neighbours (Å) after each atom.
Positions (direct):
Re 0.0000 0.0000 0.0000  8 Mo 2.75, 4 Pt 2.77
Mo 0.2500 0.7500 0.5000  4 Re 2.75, 4 Pt 2.75, 4 Mo 2.77
Mo 0.7500 0.2500 0.5000  4 Re 2.75, 4 Pt 2.75, 4 Mo 2.77
Pt 0.5000 0.5000 0.0000  8 Mo 2.75, 4 Re 2.77

Results
Density of states at the Fermi level   3.1 states/eV per cell

*C*
A relaxed structure of ReMo2Pt. Source: the Alexandria database, functional GGA-PBEsol.

abc: 9.3334 9.3334 9.3334
angles: 16.94 16.94 16.94
With the nearest neighbours (Å) after each atom.
Positions (direct):
Re 0.0000 0.0000 0.0000  3 Mo 2.74, 6 Re 2.75, 3 Pt 2.80
Mo 0.5007 0.5007 0.5007  9 Mo 2.75-2.86, 3 Pt 2.77
Mo 0.7478 0.7478 0.7478  3 Re 2.74, 9 Mo 2.75-2.86
Pt 0.2499 0.2499 0.2499  6 Pt 2.75, 3 Mo 2.77, 3 Re 2.80

Results
Density of states at the Fermi level   4.2 states/eV per cell

Which of them is most stable, and which least? Most stable: *A*; least stable: *C*.